Entry from Alexandria: a geometry-optimized Zr5As structure (PBE).

Cell and atoms, written as POSCAR:
```
Zr5As
1.0
0.319 6.438 3.419
-1.723 -7.083 0.334
4.177 -0.950 1.400
Zr As
5 1
Direct
0.333 0.667 0.500
0.160 0.840 0.000
0.000 0.000 0.500
0.840 0.160 0.000
0.667 0.333 0.500
0.500 0.500 0.000
```

For the formation energy from the elements, the calculation gives -260 meV per atom. The magnetic moment is 0.00 μB per formula unit. The relative energy among the computed polymorphs is 68 meV per atom. The calculation puts the theoretical density at 6.878 g/cm3. As for the electronic total energy: -8.159 eV/atom.